No. 1
Compound: Tb4C2O
Source: Alexandria
Functional: PBE
Structure: relaxed

## Properties
E_form (uncorrected), eV per formula unit: -7.64
Symmetry: R-3m, No. 166
Total moment, Bohr magnetons per cell: 0.0
V, Å³ per atom: 19.12

abc: 3.573 3.573 12.280
angles: 81.63 81.63 60.00
Fractional positions:
O: 0.000 0.000 0.000
Tb: 0.885 0.885 0.345
Tb: 0.294 0.294 0.118
Tb: 0.115 0.115 0.655
Tb: 0.706 0.706 0.882
C: 0.413 0.413 0.760
C: 0.587 0.587 0.240

---

No. 2
Compound: CdPbSe2
Source: Alexandria
Functional: PBE
Structure: relaxed

## Properties
E_form (uncorrected), eV per formula unit: -0.76
Symmetry: Pmmm, No. 47
Total moment, Bohr magnetons per cell: 0.0
V, Å³ per atom: 24.85

abc: 4.964 5.392 3.713
angles: 90.00 90.00 90.00
Fractional positions:
Pb: 0.000 0.500 0.500
Se: 0.500 0.500 0.000
Se: 0.000 0.000 0.000
Cd: 0.500 0.000 0.500

---

No. 3
Compound: CrInRh2C
Source: Alexandria
Functional: PBE
Structure: relaxed

## Properties
Symmetry: P4/mmm, No. 123
DFT formation energy, eV/atom: -0.053
Total moment, Bohr magnetons per cell: 2.9
V, Å³ per atom: 13.83

abc: 4.170 4.170 3.977
angles: 90.00 90.00 90.00
Fractional positions:
Cr: 0.000 0.000 0.500
C: 0.000 0.000 0.000
Rh: 0.000 0.500 0.000
Rh: 0.500 0.000 0.000
In: 0.500 0.500 0.500

---

No. 4
Compound: Be3Co2
Source: Alexandria
Functional: PBE
Structure: relaxed

## Properties
Symmetry: P-3m1, No. 164
DFT formation energy, eV/atom: 0.057
Total moment, Bohr magnetons per cell: 0.3
V, Å³ per atom: 9.95
Excess energy over the best structure of this formula in the dataset, meV/atom: 303

abc: 3.645 3.645 4.323
angles: 90.00 90.00 120.00
Fractional positions:
Be: 0.000 0.000 0.000
Be: 0.667 0.333 0.642
Be: 0.333 0.667 0.358
Co: 0.667 0.333 0.146
Co: 0.333 0.667 0.854

---

| no. | N(E_F) (states/eV per atom) | VASP energy (eV per atom) | density (g/cm3) |
| --- | --- | --- | --- |
| 1 | 0.240 | -7.080 | 8.38 |
| 2 | 0.605 | -3.089 | 7.98 |
| 3 | 0.628 | -7.311 | 9.23 |
| 4 | 1.108 | -5.021 | 4.84 |